Sr2CuAu | PBE | relaxed

```
Sr2CuAu
1.0
-6.545 -3.828 -3.172
4.226 -1.522 -6.883
0.074 -6.025 -3.529
Au Sr Cu
2 4 2
direct
0.000 0.000 0.000
0.750 0.250 0.500
0.620 0.125 0.250
0.375 0.380 0.750
0.875 0.870 0.750
0.130 0.625 0.250
0.500 0.500 0.000
0.250 0.750 0.500
```

Properties
Its space group is I-42d (122). The calculation puts the total DFT energy (no corrections) at -22.3 eV per cell. For the magnetic moment, the calculation gives 0.00 Bohr magnetons per cell. The value obtained for the density of states at the Fermi level is 7.16 states/eV/cell. The formation energy is -0.10 eV/atom.

SrCu4Au8 | PBE | relaxed

```
SrCu4Au8
1.0
-0.329 -5.254 0.758
5.851 -3.369 -2.150
2.440 -1.927 6.367
Cu Au Sr
4 8 1
direct
0.000 0.500 0.000
0.000 0.000 0.500
0.500 0.000 0.500
0.500 0.500 0.000
0.500 0.778 0.222
0.722 0.778 0.778
0.000 0.343 0.657
0.500 0.222 0.778
0.657 0.343 0.343
0.343 0.657 0.657
0.000 0.657 0.343
0.278 0.222 0.222
0.000 0.000 0.000
```

Properties
Its space group is I4/mmm (139). The calculation puts the total DFT energy (no corrections) at -47.2 eV per cell. For the magnetic moment, the calculation gives 0.00 Bohr magnetons per cell. The value obtained for the density of states at the Fermi level is 2.81 states/eV/cell. The formation energy is -0.22 eV/atom.

SrCuAu2 | PBE | relaxed

```
SrCuAu2
1.0
4.518 -0.034 0.057
2.273 3.904 0.057
2.223 1.267 5.366
Cu Sr Au
1 1 2
direct
0.438 0.438 0.683
0.244 0.244 0.271
0.778 0.778 0.665
0.039 0.039 0.881
```

Properties
Its space group is Cm (8). The calculation puts the total DFT energy (no corrections) at -14.0 eV per cell. As for the energy above the lowest structure with this stoichiometry: 44 meV/atom. For the magnetic moment, the calculation gives 0.00 Bohr magnetons per cell. The value obtained for the density of states at the Fermi level is 1.75 states/eV/cell. The formation energy is -0.42 eV/atom.

SrCuAu3 | PBE | relaxed

```
SrCuAu3
1.0
-3.571 -1.344 -4.066
4.345 5.293 -5.565
2.386 -5.565 3.566
Au Cu Sr
6 2 2
direct
0.753 0.753 0.006
0.253 0.753 0.006
0.247 0.247 0.994
0.750 0.116 0.500
0.747 0.247 0.994
0.250 0.884 0.500
0.500 0.000 0.000
0.000 0.500 0.000
0.250 0.291 0.500
0.750 0.709 0.500
```

Properties
Its space group is Imma (74). The calculation puts the total DFT energy (no corrections) at -35.2 eV per cell. As for the energy above the lowest structure with this stoichiometry: 0 meV/atom. For the magnetic moment, the calculation gives 0.00 Bohr magnetons per cell. The value obtained for the density of states at the Fermi level is 4.21 states/eV/cell. The formation energy is -0.40 eV/atom.